1.
# Ce2CoAg, relaxed, DFT PBE
# Spin magnetization (μB/f.u.): 1.0
# Energy relative to the elements (kJ/mol of formula units): -23
# Calculated volume (Å³ per cell): 294
# ρ (g/cm3): 7.58
data_Ce2CoAg
_cell_length_a 3.8999
_cell_length_b 3.8999
_cell_length_c 22.3176
_cell_angle_alpha 90.00
_cell_angle_beta 90.00
_cell_angle_gamma 120.00
_symmetry_space_group_name_H-M 'R 3 m'
_symmetry_Int_Tables_number 160
_symmetry_space_group_name_Hall 'R 3 -2"'
loop_
_atom_site_label
_atom_site_fract_x
_atom_site_fract_y
_atom_site_fract_z
Ce1 0.0000 0.0000 0.0000
Ce2 0.0000 0.0000 0.2012
Co1 0.0000 0.0000 0.6005
Ag1 0.0000 0.0000 0.7673

2.
# Ce2CoAg, relaxed, DFT PBE
# Spin magnetization (μB/f.u.): 0.9
# Energy relative to the elements (kJ/mol of formula units): -25
# Calculated volume (Å³ per cell): 289
# ρ (g/cm3): 7.71
data_Ce2CoAg
_cell_length_a 3.7913
_cell_length_b 3.7913
_cell_length_c 23.1979
_cell_angle_alpha 90.00
_cell_angle_beta 90.00
_cell_angle_gamma 120.00
_symmetry_space_group_name_H-M 'R -3 m'
_symmetry_Int_Tables_number 166
_symmetry_space_group_name_Hall '-R 3 2"'
loop_
_atom_site_label
_atom_site_fract_x
_atom_site_fract_y
_atom_site_fract_z
Ce1 0.0000 0.0000 0.2335
Co1 0.0000 0.0000 0.5000
Ag1 0.0000 0.0000 0.0000

3.
# Ce6Co2Ag, relaxed, DFT PBE
# Spin magnetization (μB/f.u.): 1.2
# Energy relative to the elements (kJ/mol of formula units): -122
# Calculated volume (Å³ per cell): 411
# ρ (g/cm3): 8.62
data_Ce6Co2Ag
_cell_length_a 9.892
_cell_length_b 4.919
_cell_length_c 8.526
_cell_angle_alpha 90.00
_cell_angle_beta 98.00
_cell_angle_gamma 90.00
_symmetry_space_group_name_H-M 'C 1 2/m 1'
_symmetry_Int_Tables_number 12
_symmetry_space_group_name_Hall '-C 2y'
loop_
_atom_site_label
_atom_site_fract_x
_atom_site_fract_y
_atom_site_fract_z
Ce1 0.055 0.000 0.363
Ce2 0.110 0.500 0.674
Ce3 0.196 0.500 0.101
Co1 0.230 0.500 0.374
Ag1 0.000 0.000 0.000